Here is a geometry-optimized RbCaTa structure from Alexandria. Energies are from PBE.

## Properties
E_form ... 0.81 eV/atom
VASP energy ... -4.126 eV/atom

a = 9.0204 Å, b = 3.4368 Å, c = 15.5848 Å
α = 90.00°, β = 90.00°, γ = 90.00°
Closest atoms and distances in Å follow each position.
Sites, in units of the cell vectors:
Rb: 0.1568 0.2500 0.2248  2 Rb 3.44
Rb: 0.3432 0.7500 0.7248  2 Rb 3.44
Rb: 0.6568 0.2500 0.2752  2 Rb 3.44
Rb: 0.8432 0.7500 0.7752  2 Rb 3.44
Ca: 0.1930 0.2500 0.9654  3 Ta 3.17-3.28, 2 Ca 3.44
Ca: 0.3070 0.7500 0.4654  3 Ta 3.17-3.28, 2 Ca 3.44
Ca: 0.6930 0.2500 0.5346  3 Ta 3.17-3.28, 2 Ca 3.44
Ca: 0.8070 0.7500 0.0346  3 Ta 3.17-3.28, 2 Ca 3.44
Ta: 0.0418 0.2500 0.5578  2 Ta 2.60
Ta: 0.4582 0.7500 0.0578  2 Ta 2.60
Ta: 0.5418 0.2500 0.9422  2 Ta 2.60
Ta: 0.9582 0.7500 0.4422  2 Ta 2.60